# CaV2PtO8

A geometry-optimized CaV2PtO8 structure (PBE+U, the Alexandria database).

Structure (POSCAR):
```
CaV2PtO8
1.0
-5.416 0.012 1.487
1.447 -1.037 -5.327
0.349 -6.314 1.323
Ca V Pt O
1 2 1 8
direct
0.000 0.000 0.500 Ca
0.667 0.333 0.268 V
0.333 0.667 0.732 V
0.000 0.000 0.000 Pt
0.844 0.156 0.201 O
0.844 0.687 0.201 O
0.313 0.156 0.201 O
0.687 0.844 0.799 O
0.333 0.667 0.476 O
0.667 0.333 0.524 O
0.156 0.844 0.799 O
0.156 0.313 0.799 O
```

Calculated values
DFT total energy, eV/atom: -6.912
Crystal system: trigonal
D(E_F), states/eV per atom: 0.0000
V, Å³ per cell: 177